Th4SiOsSe2 after structural relaxation, computed with PBE.

Cell and atoms, written as POSCAR:
```
Th4SiOsSe2
1.0
7.423 0.000 0.000
0.000 4.154 0.000
-2.379 0.000 7.059
Th Si Os Se
4 1 1 2
Cartesian
1.175 0.000 1.550
0.017 2.077 5.433
5.027 2.077 1.626
3.870 0.000 5.509
3.712 0.000 0.000
0.000 2.077 0.000
-1.189 0.000 3.529
2.522 2.077 3.529
```

## Properties
Formation energy from raw total energies, eV per atom: -1.0591